1.
VASP calculation (PBE) on AgPdRh2 after structural relaxation.

Its formation energy is 675 meV/atom. The calculation puts the density of states at the Fermi level at 1.7256 states/eV/atom. The distance to the lowest polymorph of the same formula is 28.75 kJ/mol of atoms. Its magnetization is 0.00 μB per cell.

The space group is I-42d (No. 122) and the conventional cell measures 7.161, 7.161 and 5.314 Å, with angles of 90.00, 90.00 and 90.00 degrees. The inequivalent atoms are Ag at (0.000, 0.000, 0.000), Pd at (0.000, 0.000, 0.500) and Rh at (0.231, 0.250, 0.625).

=====

2.
VASP calculation (PBE) on PrSm5Tm4 after structural relaxation.

Its formation energy is 298 meV/atom. The calculation puts the density of states at the Fermi level at 1.4830 states/eV/atom. The distance to the lowest polymorph of the same formula is 26.80 kJ/mol of atoms. Its magnetization is 0.00 μB per cell.

The space group is I4 (No. 79) and the conventional cell measures 10.234, 10.234 and 6.340 Å, with angles of 90.00, 90.00 and 90.00 degrees. The inequivalent atoms are Pr at (0.000, 0.000, 0.000), Sm at (0.000, 0.000, 0.542), Sm at (0.146, 0.236, 0.271) and Tm at (0.051, 0.350, 0.769).

=====

3.
VASP calculation (PBE) on Y7Bi2Ir2 after structural relaxation.

Its formation energy is -684 meV/atom. The calculation puts the density of states at the Fermi level at 0.8941 states/eV/atom. Its magnetization is 2.77 μB per cell.

The space group is Imm2 (No. 44) and the conventional cell measures 3.962, 16.231 and 9.566 Å, with angles of 90.00, 90.00 and 90.00 degrees. The inequivalent atoms are Y at (0.000, 0.000, 0.000), Y at (0.000, 0.129, 0.418), Y at (0.000, 0.314, 0.625), Y at (0.000, 0.349, 0.267), Bi at (0.000, 0.000, 0.667), Bi at (0.000, 0.500, 0.758) and Ir at (0.000, 0.241, 0.928).

=====

4.
VASP calculation (PBE) on MgTaCu after structural relaxation.

Its formation energy is 512 meV/atom. The calculation puts the density of states at the Fermi level at 0.1703 states/eV/atom. The distance to the lowest polymorph of the same formula is 41.49 kJ/mol of atoms. Its magnetization is 0.00 μB per cell.

The space group is F-43m (No. 216) and the conventional cell measures 6.003, 6.003 and 6.003 Å, with angles of 90.00, 90.00 and 90.00 degrees. The inequivalent atoms are Mg at (0.000, 0.000, 0.000), Ta at (0.000, 0.000, 0.500) and Cu at (0.250, 0.250, 0.750).

=====

5.
VASP calculation (PBE) on Ac8PdRu3 after structural relaxation.

Its formation energy is -288 meV/atom. The calculation puts the density of states at the Fermi level at 0.7827 states/eV/atom. Its magnetization is 0.00 μB per cell.

The space group is C2/m (No. 12) and the conventional cell measures 14.079, 8.767 and 8.300 Å, with angles of 90.00, 121.23 and 90.00 degrees. The inequivalent atoms are Ac at (0.008, 0.240, 0.253), Ac at (0.247, 0.000, 0.253), Ac at (0.248, 0.000, 0.732), Pd at (0.000, 0.500, 0.000), Ru at (0.000, 0.000, 0.000) and Ru at (0.250, 0.250, 0.500).

=====

6.
VASP calculation (PBE) on Nd6AgRh3 after structural relaxation.

Its formation energy is -404 meV/atom. The calculation puts the density of states at the Fermi level at 0.8452 states/eV/atom. The distance to the lowest polymorph of the same formula is 7.26 kJ/mol of atoms. Its magnetization is 0.00 μB per cell.

The space group is Cmc2_1 (No. 36) and the conventional cell measures 11.001, 14.365 and 7.349 Å, with angles of 90.00, 90.00 and 90.00 degrees. The inequivalent atoms are Nd at (0.000, 0.014, 0.000), Nd at (0.000, 0.228, 0.668), Nd at (0.171, 0.467, 0.619), Nd at (0.180, 0.282, 0.052), Ag at (0.000, 0.169, 0.278), Rh at (0.000, 0.401, 0.893) and Rh at (0.186, 0.112, 0.813).

=====

What is the magnetization in the fourth record? 0.00 μB per cell

=====

Among the records above, which one has the highest magnetization? Y7Bi2Ir2

=====

Look up the magnetization of the second one. 0.00 μB per cell